First-principles (PBE with a Hubbard U) data for a relaxed NpTlVF6 crystal, as listed in Alexandria via LeMat-Bulk.

Results
space-group type = Imma, No. 74
total energy = -117.93 eV for the cell shown
crystal system = orthorhombic

Cell: 7.6487 7.6487 7.6487 Å, 121.61 117.14 91.12°
Closest atoms and distances in Å follow each position.
Atoms (fractional coordinates):
Np 0.0000 0.0000 0.0000  6 F 2.32-2.41
Np 0.5000 0.0000 0.5000  6 F 2.32-2.41
Tl 0.3222 0.5722 0.7500  9 F 3.04-3.40
Tl 0.6778 0.4278 0.2500  9 F 3.04-3.40
V 0.0000 0.0000 0.5000  6 F 2.11
V 0.0000 0.5000 0.0000  6 F 2.11
F 0.0564 0.3851 0.2114  1 V 2.11
F 0.0564 0.8450 0.6713  1 V 2.11
F 0.0922 0.8422 0.2500  2 V 2.11
F 0.3263 0.1550 0.7114  1 V 2.11
F 0.3263 0.6149 0.1713  1 V 2.11
F 0.3606 0.1106 0.2500  2 Np 2.32
F 0.6394 0.8894 0.7500  2 Np 2.32
F 0.6737 0.3851 0.8287  1 V 2.11
F 0.6737 0.8450 0.2886  1 V 2.11
F 0.9078 0.1578 0.7500  2 V 2.11
F 0.9436 0.1550 0.3287  1 V 2.11
F 0.9436 0.6149 0.7886  1 V 2.11